Entry 1:
{
  "formula": "FeTcCl",
  "functional": "GGA-PBE",
  "state": "optimized geometry",
  "lattice": [[6.6380, 0.0076, -0.0048], [5.6622, 2.7792, -0.0127], [0.9759, -1.1932, 2.5016]],
  "species": ["Fe", "Cl", "Tc"],
  "fractional_positions": [[0.3308, 0.3308, 0.6692], [0.9917, 0.9917, 0.0083], [0.6775, 0.6775, 0.3225]],
  "dft_energy_ev_per_cell": -19.26,
  "raw_formation_energy_ev_per_atom": 0.47,
  "de_polymorph_mev_per_atom": 155.7,
  "sg": "Fmm2, No. 42"
}

---

Entry 2:
{
  "formula": "Fe2TcCl",
  "functional": "GGA-PBE",
  "state": "optimized geometry",
  "lattice": [[-1.9574, -0.3391, 2.0829], [0.8057, -2.7458, 0.3101], [4.5232, 1.8410, 4.5503]],
  "species": ["Fe", "Fe", "Cl", "Tc"],
  "fractional_positions": [[0.5000, 0.5000, 0.2527], [0.0000, 0.0000, 0.0256], [0.5000, 0.5000, 0.7547], [0.0000, 0.0000, 0.4670]],
  "dft_energy_ev_per_cell": -27.81,
  "raw_formation_energy_ev_per_atom": 0.33,
  "de_polymorph_mev_per_atom": 65.4,
  "sg": "P4mm, No. 99"
}

---

Entry 3:
{
  "formula": "Fe2TcCl",
  "functional": "GGA-PBE",
  "state": "optimized geometry",
  "lattice": [[5.0075, 0.0001, 0.0000], [2.4340, 4.3761, 0.0000], [-3.7208, -2.1881, 2.5383]],
  "species": ["Cl", "Fe", "Fe", "Tc"],
  "fractional_positions": [[0.7500, 0.2500, 0.5000], [0.0000, 0.0000, 0.0000], [0.5000, 0.5000, 0.0000], [0.2500, 0.7500, 0.5000]],
  "dft_energy_ev_per_cell": -25.45,
  "raw_formation_energy_ev_per_atom": 0.92,
  "de_polymorph_mev_per_atom": 653.8,
  "sg": "I4/mmm, No. 139"
}